{"formula": "NiBiTeN2", "functional": "PBEsol", "state": "relaxed", "lattice": [[4.178, 0.000, 0.000], [0.000, 4.178, 0.000], [0.000, 0.000, 6.248]], "species": ["Te", "N", "N", "Ni", "Bi"], "fractional_positions": [[0.000, 0.000, 0.500], [0.500, 0.000, 0.000], [0.000, 0.500, 0.000], [0.500, 0.500, 0.500], [0.000, 0.000, 0.000]], "vol_a3_per_atom": 21.81, "raw_formation_energy_ev_per_atom": 1.858}

{"formula": "BiPbN2O", "functional": "PBEsol", "state": "relaxed", "lattice": [[-2.617, 1.628, -2.851], [-3.273, -0.765, 2.567], [0.476, 3.823, 1.746]], "species": ["Pb", "Bi", "O", "N", "N"], "fractional_positions": [[0.000, 0.000, 0.000], [0.500, 0.500, 0.500], [0.500, 0.000, 0.000], [0.000, 0.000, 0.500], [0.000, 0.500, 0.000]], "vol_a3_per_atom": 15.02, "raw_formation_energy_ev_per_atom": 0.920}

{"formula": "BiRhNO2", "functional": "PBEsol", "state": "relaxed", "lattice": [[4.156, 0.000, 0.000], [0.000, 4.156, 0.000], [0.000, 0.000, 4.242]], "species": ["Bi", "O", "O", "N", "Rh"], "fractional_positions": [[0.000, 0.000, 0.000], [0.000, 0.500, 0.000], [0.500, 0.000, 0.000], [0.000, 0.000, 0.500], [0.500, 0.500, 0.500]], "vol_a3_per_atom": 14.65, "raw_formation_energy_ev_per_atom": 0.971}

{"formula": "BiSNO2", "functional": "PBEsol", "state": "relaxed", "lattice": [[4.081, 0.000, 0.000], [0.000, 4.081, 0.000], [0.000, 0.000, 4.490]], "species": ["O", "O", "N", "S", "Bi"], "fractional_positions": [[0.500, 0.000, 0.000], [0.000, 0.500, 0.000], [0.000, 0.000, 0.500], [0.500, 0.500, 0.500], [0.000, 0.000, 0.000]], "vol_a3_per_atom": 14.95, "raw_formation_energy_ev_per_atom": 0.939}

{"formula": "BiTeN2O", "functional": "PBEsol", "state": "relaxed", "lattice": [[-3.970, 0.344, 0.962], [-0.202, -4.249, 0.687], [1.055, 0.618, 4.132]], "species": ["O", "Bi", "Te", "N", "N"], "fractional_positions": [[0.500, 0.000, 0.000], [0.000, 0.000, 0.000], [0.500, 0.500, 0.500], [0.000, 0.500, 0.000], [0.000, 0.000, 0.500]], "vol_a3_per_atom": 15.22, "raw_formation_energy_ev_per_atom": 1.088}

{"formula": "TlBiN2O", "functional": "PBEsol", "state": "relaxed", "lattice": [[4.258, 0.000, 0.000], [0.000, 4.422, 0.000], [0.000, 0.000, 4.422]], "species": ["O", "Bi", "N", "N", "Tl"], "fractional_positions": [[0.500, 0.000, 0.000], [0.000, 0.000, 0.000], [0.000, 0.000, 0.500], [0.000, 0.500, 0.000], [0.500, 0.500, 0.500]], "vol_a3_per_atom": 16.65, "raw_formation_energy_ev_per_atom": 0.953}

{"formula": "YBiNO2", "functional": "PBEsol", "state": "relaxed", "lattice": [[-3.173, -0.001, -2.824], [2.737, -1.046, -3.075], [-0.710, -4.207, 0.799]], "species": ["N", "O", "O", "Bi", "Y"], "fractional_positions": [[0.000, 0.000, 0.500], [0.500, 0.000, 0.000], [0.000, 0.500, 0.000], [0.000, 0.000, 0.000], [0.500, 0.500, 0.500]], "vol_a3_per_atom": 15.66, "raw_formation_energy_ev_per_atom": -0.787}

{"formula": "ZrBiNO2", "functional": "PBEsol", "state": "relaxed", "lattice": [[4.192, 0.000, 0.000], [0.000, 4.192, 0.000], [0.000, 0.000, 4.319]], "species": ["Bi", "N", "Zr", "O", "O"], "fractional_positions": [[0.000, 0.000, 0.000], [0.000, 0.000, 0.500], [0.500, 0.500, 0.500], [0.000, 0.500, 0.000], [0.500, 0.000, 0.000]], "vol_a3_per_atom": 15.18, "raw_formation_energy_ev_per_atom": -0.048}

{"formula": "BiOs3N", "functional": "PBEsol", "state": "relaxed", "lattice": [[-0.018, -1.836, 4.654], [4.143, -2.615, -1.015], [2.805, 3.850, 1.530]], "species": ["Os", "Os", "Os", "N", "Bi"], "fractional_positions": [[0.000, 0.500, 0.000], [0.000, 0.000, 0.500], [0.500, 0.000, 0.000], [0.500, 0.500, 0.500], [0.000, 0.000, 0.000]], "vol_a3_per_atom": 25.05, "raw_formation_energy_ev_per_atom": 4.429}

{"formula": "BiP2N", "functional": "PBEsol", "state": "relaxed", "lattice": [[4.873, 0.000, 0.000], [0.000, 4.873, 0.000], [-2.437, -2.437, 5.804]], "species": ["P", "P", "P", "P", "N", "N", "Bi", "Bi"], "fractional_positions": [[0.625, 0.375, 0.750], [0.625, 0.875, 0.250], [0.625, 0.375, 0.250], [0.125, 0.375, 0.750], [0.750, 0.250, 0.500], [0.500, 0.500, 0.000], [0.000, 0.000, 0.000], [0.250, 0.750, 0.500]], "vol_a3_per_atom": 17.23, "raw_formation_energy_ev_per_atom": 0.621}

{"formula": "BiPPbN2", "functional": "PBEsol", "state": "relaxed", "lattice": [[-0.279, -4.061, -1.527], [3.628, -1.057, 2.149], [-2.894, -1.382, 4.206]], "species": ["Bi", "N", "N", "Pb", "P"], "fractional_positions": [[0.000, 0.000, 0.000], [0.000, 0.500, 0.000], [0.500, 0.000, 0.000], [0.500, 0.500, 0.500], [0.000, 0.000, 0.500]], "vol_a3_per_atom": 19.99, "raw_formation_energy_ev_per_atom": 1.426}

{"formula": "BiPSN2", "functional": "PBEsol", "state": "relaxed", "lattice": [[-2.936, 0.696, -2.220], [0.541, -3.273, -1.741], [-2.739, -2.040, 2.983]], "species": ["S", "N", "N", "Bi", "P"], "fractional_positions": [[0.000, 0.000, 0.500], [0.500, 0.000, 0.000], [0.000, 0.500, 0.000], [0.500, 0.500, 0.500], [0.000, 0.000, 0.000]], "vol_a3_per_atom": 12.73, "raw_formation_energy_ev_per_atom": 0.662}

Number 1: DOS(E_F) 6.59 states/eV per cell, total magnetic moment 2.9 μB/cell. Number 2: DOS(E_F) 2.82 states/eV per cell, total magnetic moment 0.0 μB/cell. Number 3: DOS(E_F) 5.93 states/eV per cell, total magnetic moment 3.2 μB/cell. Number 4: DOS(E_F) 3.36 states/eV per cell, total magnetic moment 0.9 μB/cell. Number 5: DOS(E_F) 2.46 states/eV per cell, total magnetic moment 0.0 μB/cell. Number 6: DOS(E_F) 2.69 states/eV per cell, total magnetic moment 2.2 μB/cell. Number 7: DOS(E_F) 0.94 states/eV per cell, total magnetic moment 0.0 μB/cell. Number 8: DOS(E_F) 4.15 states/eV per cell, total magnetic moment 1.2 μB/cell. Number 9: DOS(E_F) 7.60 states/eV per cell, total magnetic moment 7.3 μB/cell. Number 10: DOS(E_F) 4.83 states/eV per cell, total magnetic moment 0.0 μB/cell. Number 11: DOS(E_F) 3.35 states/eV per cell, total magnetic moment 1.8 μB/cell. Number 12: DOS(E_F) 1.86 states/eV per cell, total magnetic moment 0.0 μB/cell.